(1)
This record from Alexandria via LeMat-Bulk describes SbSe2SN after structural relaxation. The functional is PBE.

POSCAR file:
```
SbSe2SN
1.0
5.246 0.000 0.000
0.000 5.246 0.000
0.000 0.000 3.448
Sb Se S N
1 2 1 1
Direct
0.000 0.000 0.000
0.000 0.500 0.500
0.500 0.000 0.500
0.500 0.500 0.500
0.500 0.500 0.000
```

Summary:
The calculation puts the formation energy (no corrections) at 0.789 eV per atom. The polymorph energy (0 for the lowest one) comes out at 0.000 eV/atom.


(2)
This record from Alexandria via LeMat-Bulk describes SbSe2SN after structural relaxation. The functional is PBE.

POSCAR file:
```
SbSe2SN
1.0
5.358 0.000 0.000
0.000 5.358 0.000
0.000 0.000 3.891
Sb Se S N
1 2 1 1
Direct
0.000 0.000 0.000
0.000 0.500 0.000
0.500 0.000 0.000
0.500 0.500 0.500
0.000 0.000 0.500
```

Summary:
The calculation puts the formation energy (no corrections) at 1.188 eV per atom. The polymorph energy (0 for the lowest one) comes out at 0.399 eV/atom.


(3)
This record from Alexandria via LeMat-Bulk describes Sm4SbS2N after structural relaxation. The functional is PBE.

POSCAR file:
```
Sm4SbS2N
1.0
-3.619 3.619 4.021
3.619 -3.619 4.021
3.619 3.619 -4.021
Sm Sb S N
4 1 2 1
Direct
0.023 0.652 0.000
0.348 0.348 0.371
0.652 0.023 0.000
0.977 0.977 0.629
0.500 0.500 0.000
0.250 0.750 0.500
0.750 0.250 0.500
0.000 0.000 0.000
```

Summary:
The calculation puts the formation energy (no corrections) at -1.417 eV per atom.


(4)
This record from Alexandria via LeMat-Bulk describes Sm3SbSN after structural relaxation. The functional is PBE.

POSCAR file:
```
Sm3SbSN
1.0
8.577 0.000 0.000
0.000 4.149 0.000
-1.909 0.000 9.074
Sm Sb S N
6 2 2 2
Direct
0.075 0.250 0.346
0.335 0.250 0.984
0.393 0.750 0.656
0.607 0.250 0.344
0.665 0.750 0.016
0.925 0.750 0.654
0.318 0.750 0.284
0.682 0.250 0.716
0.154 0.250 0.651
0.846 0.750 0.349
0.404 0.750 0.898
0.596 0.250 0.102
```

Summary:
The calculation puts the formation energy (no corrections) at -1.438 eV per atom.


(5)
This record from Alexandria via LeMat-Bulk describes SnSbS2N after structural relaxation. The functional is PBE.

POSCAR file:
```
SnSbS2N
1.0
5.137 0.000 0.000
0.000 5.137 0.000
0.000 0.000 3.947
Sn Sb S N
1 1 2 1
Direct
0.000 0.000 0.000
0.500 0.500 0.500
0.000 0.500 0.500
0.500 0.000 0.500
0.500 0.500 0.000
```

Summary:
The calculation puts the formation energy (no corrections) at 0.495 eV per atom. The polymorph energy (0 for the lowest one) comes out at 0.000 eV/atom.


(6)
This record from Alexandria via LeMat-Bulk describes SnSbS2N after structural relaxation. The functional is PBE.

POSCAR file:
```
SnSbS2N
1.0
5.116 0.000 0.000
0.000 5.116 0.000
0.000 0.000 3.945
Sn Sb S N
1 1 2 1
Direct
0.000 0.000 0.000
0.500 0.500 0.500
0.000 0.500 0.000
0.500 0.000 0.000
0.000 0.000 0.500
```

Summary:
The calculation puts the formation energy (no corrections) at 0.691 eV per atom. The polymorph energy (0 for the lowest one) comes out at 0.196 eV/atom.


(7)
This record from Alexandria via LeMat-Bulk describes Sr6Sb2SN after structural relaxation. The functional is PBE.

POSCAR file:
```
Sr6Sb2SN
1.0
-3.840 3.840 5.401
3.840 -3.840 5.401
3.840 3.840 -5.401
Sr Sb S N
6 2 1 1
Direct
0.236 0.236 0.000
0.236 0.236 0.473
0.236 0.764 0.000
0.764 0.236 0.000
0.764 0.764 0.000
0.764 0.764 0.527
0.250 0.750 0.500
0.750 0.250 0.500
0.500 0.500 0.000
0.000 0.000 0.000
```

Summary:
The calculation puts the formation energy (no corrections) at -1.060 eV per atom.


(8)
This record from Alexandria via LeMat-Bulk describes SrSbS2N after structural relaxation. The functional is PBE.

POSCAR file:
```
SrSbS2N
1.0
5.563 0.000 0.000
0.000 5.563 0.000
0.000 0.000 4.644
Sr Sb S N
1 1 2 1
Direct
0.000 0.000 0.000
0.500 0.500 0.500
0.000 0.500 0.000
0.500 0.000 0.000
0.000 0.000 0.500
```

Summary:
The calculation puts the formation energy (no corrections) at 0.822 eV per atom. The polymorph energy (0 for the lowest one) comes out at 1.129 eV/atom.


(9)
This record from Alexandria via LeMat-Bulk describes SrSbS2N after structural relaxation. The functional is PBE.

POSCAR file:
```
SrSbS2N
1.0
5.161 0.000 0.000
0.000 5.161 0.000
0.000 0.000 4.022
Sr Sb S N
1 1 2 1
Direct
0.000 0.000 0.000
0.500 0.500 0.500
0.000 0.500 0.500
0.500 0.000 0.500
0.500 0.500 0.000
```

Summary:
The calculation puts the formation energy (no corrections) at -0.307 eV per atom. The polymorph energy (0 for the lowest one) comes out at 0.000 eV/atom.


(10)
This record from Alexandria via LeMat-Bulk describes SrSbSN2 after structural relaxation. The functional is PBE.

POSCAR file:
```
SrSbSN2
1.0
4.725 0.000 0.000
0.000 4.725 0.000
0.000 0.000 5.764
Sr Sb S N
1 1 1 2
Direct
0.000 0.000 0.000
0.500 0.500 0.500
0.000 0.000 0.500
0.000 0.500 0.000
0.500 0.000 0.000
```

Summary:
The calculation puts the formation energy (no corrections) at 1.397 eV per atom. The polymorph energy (0 for the lowest one) comes out at 1.258 eV/atom.


(11)
This record from Alexandria via LeMat-Bulk describes SrSbSN2 after structural relaxation. The functional is PBE.

POSCAR file:
```
SrSbSN2
1.0
4.151 0.000 0.000
0.000 4.151 0.000
0.000 0.000 5.252
Sr Sb S N
1 1 1 2
Direct
0.000 0.000 0.000
0.500 0.500 0.500
0.500 0.500 0.000
0.000 0.500 0.500
0.500 0.000 0.500
```

Summary:
The calculation puts the formation energy (no corrections) at 0.140 eV per atom. The polymorph energy (0 for the lowest one) comes out at 0.000 eV/atom.


(12)
This record from Alexandria via LeMat-Bulk describes TaSbSN2 after structural relaxation. The functional is PBE.

POSCAR file:
```
TaSbSN2
1.0
3.990 0.000 0.000
0.000 3.990 0.000
0.000 0.000 4.904
Ta Sb S N
1 1 1 2
Direct
0.000 0.000 0.000
0.500 0.500 0.500
0.500 0.500 0.000
0.000 0.500 0.500
0.500 0.000 0.500
```

Summary:
The calculation puts the formation energy (no corrections) at 1.412 eV per atom. The polymorph energy (0 for the lowest one) comes out at 1.258 eV/atom.


(13)
This record from Alexandria via LeMat-Bulk describes TaSbSN2 after structural relaxation. The functional is PBE.

POSCAR file:
```
TaSbSN2
1.0
4.060 0.000 0.000
0.000 4.060 0.000
0.000 0.000 5.019
Ta Sb S N
1 1 1 2
Direct
0.000 0.000 0.000
0.500 0.500 0.500
0.000 0.000 0.500
0.000 0.500 0.000
0.500 0.000 0.000
```

Summary:
The calculation puts the formation energy (no corrections) at 0.154 eV per atom. The polymorph energy (0 for the lowest one) comes out at 0.000 eV/atom.